Record 1
A plane-wave DFT calculation with PBE was carried out for an optimized crystal structure of YSc2As.

Total DFT energy (no corrections) (eV for the cell shown): -50.48
Crystal system: tetragonal
Theoretical density (g/cm3): 4.07
Calculated volume (Å³ per cell): 207.23
SG: I-42d

Cell lengths 8.388, 8.388, 6.622 Å; angles 50.70, 50.70, 90.00 degrees
Fractional coordinates of all 8 atoms:
Y 0.000 0.000 0.000
As 0.500 0.500 0.000
Sc 0.195 0.625 0.250
Sc 0.875 0.805 0.750
Sc 0.375 0.445 0.750
Sc 0.555 0.125 0.250
Y 0.750 0.250 0.500
As 0.250 0.750 0.500

=====

Record 2
A plane-wave DFT calculation with PBE was carried out for an optimized crystal structure of Y2ScAs2.

Total DFT energy (no corrections) (eV for the cell shown): -31.38
Crystal system: tetragonal
Theoretical density (g/cm3): 5.01
Calculated volume (Å³ per cell): 123.41
SG: I4/mmm

Cell lengths 6.973, 6.973, 6.973 Å; angles 142.75, 142.75, 53.69 degrees
Fractional coordinates of all 5 atoms:
Y 0.750 0.250 0.500
As 0.604 0.604 0.000
As 0.396 0.396 0.000
Sc 0.000 0.000 0.000
Y 0.250 0.750 0.500

=====

Record 3
A plane-wave DFT calculation with PBE was carried out for an optimized crystal structure of YSc5As6.

Total DFT energy (no corrections) (eV for the cell shown): -82.75
Crystal system: monoclinic
Theoretical density (g/cm3): 4.94
Calculated volume (Å³ per cell): 256.29
SG: C2/m

Cell lengths 6.796, 6.798, 6.797 Å; angles 60.00, 80.38, 70.48 degrees
Fractional coordinates of all 12 atoms:
Sc 0.500 0.836 0.328
As 0.746 0.742 0.000
Y 0.000 0.000 0.000
As 0.254 0.258 0.000
As 0.744 0.085 0.342
Sc 0.000 0.667 0.665
Sc 0.500 0.164 0.672
As 0.256 0.915 0.658
As 0.256 0.573 0.342
Sc 0.500 0.500 0.000
Sc 0.000 0.333 0.335
As 0.744 0.427 0.658

=====

Record 4
A plane-wave DFT calculation with PBE was carried out for an optimized crystal structure of YSc2As.

Total DFT energy (no corrections) (eV for the cell shown): -25.88
Crystal system: orthorhombic
Theoretical density (g/cm3): 4.51
Calculated volume (Å³ per cell): 93.48
SG: Imm2

Cell lengths 6.092, 6.092, 4.790 Å; angles 66.87, 66.87, 35.25 degrees
Fractional coordinates of all 4 atoms:
As 0.261 0.261 0.240
Sc 0.747 0.747 0.753
Sc 0.953 0.953 0.047
Y 0.540 0.540 0.460

=====

Record 5
A plane-wave DFT calculation with PBE was carried out for an optimized crystal structure of Y2ScAs2.

Total DFT energy (no corrections) (eV for the cell shown): -69.17
Crystal system: tetragonal
Theoretical density (g/cm3): 5.41
Calculated volume (Å³ per cell): 228.56
SG: P4/mbm

Cell lengths 7.559, 7.559, 4.000 Å; angles 90.00, 90.00, 90.00 degrees
Fractional coordinates of all 10 atoms:
Y 0.843 0.343 0.500
Sc 0.000 0.000 0.000
As 0.348 0.848 0.000
As 0.652 0.152 0.000
As 0.848 0.652 0.000
Y 0.343 0.157 0.500
Y 0.157 0.657 0.500
As 0.152 0.348 0.000
Y 0.657 0.843 0.500
Sc 0.500 0.500 0.000

=====

Record 6
A plane-wave DFT calculation with PBE was carried out for an optimized crystal structure of YSc2As.

Total DFT energy (no corrections) (eV for the cell shown): -25.78
Crystal system: trigonal
Theoretical density (g/cm3): 3.98
Calculated volume (Å³ per cell): 105.87
SG: R3m

Cell lengths 9.073, 9.073, 9.073 Å; angles 23.69, 23.69, 23.69 degrees
Fractional coordinates of all 4 atoms:
As 0.745 0.745 0.745
Y 0.481 0.481 0.481
Sc 0.020 0.020 0.020
Sc 0.253 0.253 0.253

=====

Record 7
A plane-wave DFT calculation with PBE was carried out for an optimized crystal structure of YScAs.

Total DFT energy (no corrections) (eV for the cell shown): -41.19
Crystal system: tetragonal
Theoretical density (g/cm3): 5.16
Calculated volume (Å³ per cell): 134.27
SG: P4/nmm

Cell lengths 4.131, 4.131, 7.868 Å; angles 90.00, 90.00, 90.00 degrees
Fractional coordinates of all 6 atoms:
Y 0.250 0.250 0.647
As 0.250 0.250 0.263
As 0.750 0.750 0.737
Y 0.750 0.750 0.353
Sc 0.250 0.750 0.000
Sc 0.750 0.250 0.000

=====

Record 8
A plane-wave DFT calculation with PBE was carried out for an optimized crystal structure of YSc2As.

Total DFT energy (no corrections) (eV for the cell shown): -23.48
Crystal system: trigonal
Theoretical density (g/cm3): 4.03
Calculated volume (Å³ per cell): 104.64
SG: R-3m

Cell lengths 10.980, 10.980, 10.980 Å; angles 17.52, 17.52, 17.52 degrees
Fractional coordinates of all 4 atoms:
Y 0.500 0.500 0.500
Sc 0.918 0.918 0.918
As 0.000 0.000 0.000
Sc 0.082 0.082 0.082

=====

Record 9
A plane-wave DFT calculation with PBE was carried out for an optimized crystal structure of Y2ScAs3.

Total DFT energy (no corrections) (eV for the cell shown): -42.09
Crystal system: tetragonal
Theoretical density (g/cm3): 5.28
Calculated volume (Å³ per cell): 140.87
SG: I4/mmm

Cell lengths 4.069, 4.069, 8.982 Å; angles 103.09, 103.09, 90.00 degrees
Fractional coordinates of all 6 atoms:
As 0.597 0.598 0.199
As 0.272 0.273 0.549
Sc 0.434 0.436 0.874
Y 0.101 0.102 0.207
As 0.934 0.936 0.874
Y 0.768 0.769 0.541

=====

Record 10
A plane-wave DFT calculation with PBE was carried out for an optimized crystal structure of YScAs3.

Total DFT energy (no corrections) (eV for the cell shown): -28.46
Crystal system: cubic
Theoretical density (g/cm3): 4.67
Calculated volume (Å³ per cell): 127.50
SG: Pm-3m

Cell lengths 5.033, 5.033, 5.033 Å; angles 90.00, 90.00, 90.00 degrees
Fractional coordinates of all 5 atoms:
Sc 0.000 0.000 0.000
As 0.500 0.000 0.000
Y 0.500 0.500 0.500
As 0.000 0.000 0.500
As 0.000 0.500 0.000

=====

Record 11
A plane-wave DFT calculation with PBE was carried out for an optimized crystal structure of YScAs.

Total DFT energy (no corrections) (eV for the cell shown): -19.67
Crystal system: tetragonal
Theoretical density (g/cm3): 4.99
Calculated volume (Å³ per cell): 69.45
SG: I4mm

Cell lengths 5.901, 5.901, 5.901 Å; angles 144.35, 144.35, 51.31 degrees
Fractional coordinates of all 3 atoms:
Y 0.655 0.655 0.000
As 0.981 0.981 0.000
Sc 0.364 0.364 0.000

=====

Record 12
A plane-wave DFT calculation with PBE was carried out for an optimized crystal structure of Y4ScAs5.

Total DFT energy (no corrections) (eV for the cell shown): -70.49
Crystal system: tetragonal
Theoretical density (g/cm3): 5.36
Calculated volume (Å³ per cell): 240.23
SG: I4/m

Cell lengths 5.780, 7.065, 7.065 Å; angles 80.37, 65.85, 65.85 degrees
Fractional coordinates of all 10 atoms:
As 0.293 0.805 0.610
As 0.099 0.610 0.195
Sc 0.001 0.000 0.000
Y 0.403 0.398 0.798
As 0.709 0.195 0.390
Y 0.201 0.202 0.398
Y 0.801 0.798 0.602
As 0.501 0.000 0.000
As 0.903 0.390 0.805
Y 0.599 0.602 0.202